1.
{"formula": "LiSc2O3", "functional": "PBE", "state": "optimized geometry", "cell": [[2.934, 0.000, 0.000], [0.000, 8.334, 0.000], [0.000, 0.000, 5.372]], "species": ["Li", "Li", "Sc", "Sc", "Sc", "Sc", "O", "O", "O", "O", "O", "O"], "frac_coords": [[0.000, 0.215, 0.000], [0.000, 0.785, 0.500], [0.000, 0.107, 0.483], [0.000, 0.893, 0.983], [0.500, 0.484, 0.580], [0.500, 0.516, 0.080], [0.000, 0.413, 0.842], [0.000, 0.587, 0.342], [0.500, 0.062, 0.793], [0.500, 0.281, 0.329], [0.500, 0.719, 0.829], [0.500, 0.938, 0.293]], "sg": "Pmc2_1", "formation_energy_uncorrected_mev_per_atom": -2708}

2.
{"formula": "LiSc2O", "functional": "PBE", "state": "optimized geometry", "cell": [[1.590, 0.918, 8.309], [-1.590, 0.918, 8.309], [0.000, -1.836, 8.309]], "species": ["Li", "Sc", "Sc", "O"], "frac_coords": [[0.000, 0.000, 0.000], [0.117, 0.117, 0.117], [0.883, 0.883, 0.883], [0.500, 0.500, 0.500]], "sg": "R-3m", "formation_energy_uncorrected_mev_per_atom": -1265}

3.
{"formula": "LiSc2O", "functional": "PBE", "state": "optimized geometry", "cell": [[-3.094, 3.094, 4.208], [3.094, -3.094, 4.208], [3.094, 3.094, -4.208]], "species": ["Li", "Li", "Sc", "Sc", "Sc", "Sc", "O", "O"], "frac_coords": [[0.000, 0.000, 0.000], [0.750, 0.250, 0.500], [0.243, 0.625, 0.118], [0.375, 0.493, 0.618], [0.507, 0.125, 0.882], [0.875, 0.757, 0.382], [0.250, 0.750, 0.500], [0.500, 0.500, 0.000]], "sg": "I-42d", "formation_energy_uncorrected_mev_per_atom": -1223}

Question: Number 3 is which compound?
Answer: LiSc2O